[1]
Entry from Alexandria: a PBEsol-optimized structure of Li2CdCl4 (meta-GGA SCAN).

Summary:
- DFT total energy: -11.28 eV per atom
- Space group: Imma
- Formation energy (no corrections): -11.87 eV per formula unit

Geometry as POSCAR:
```
Li2CdCl4
1.0
7.395 0.000 0.000
3.698 6.465 0.008
-3.698 1.954 6.162
Cl Li Cd
8 4 2
Direct
0.997 0.754 0.254
0.481 0.773 0.735
0.003 0.246 0.746
0.019 0.235 0.273
0.519 0.227 0.265
0.503 0.754 0.254
0.981 0.765 0.727
0.497 0.246 0.746
0.500 0.000 0.500
0.250 0.608 0.108
0.000 0.000 0.500
0.750 0.392 0.892
0.500 0.000 0.000
0.000 0.500 0.500
```



[2]
Entry from Alexandria: a PBEsol-optimized structure of AgBr2 (meta-GGA SCAN).

Summary:
- DFT total energy: -23.62 eV per atom
- Space group: P-3m1
- Formation energy (no corrections): -0.58 eV per formula unit

Geometry as POSCAR:
```
AgBr2
1.0
-2.381 -2.205 2.284
3.228 1.701 1.559
-2.885 4.369 1.209
Br Ag
2 1
Direct
0.667 0.333 0.726
0.333 0.667 0.274
0.000 0.000 0.000
```